# 1
# Ce2SmCr2C4, optimized geometry, DFT PBE
data_Ce2SmCr2C4
_chemical_formula_sum 'Ce4 Sm2 Cr4 C8'
_cell_length_a 13.4148
_cell_length_b 3.4240
_cell_length_c 6.0408
_cell_angle_alpha 90.00
_cell_angle_beta 109.21
_cell_angle_gamma 90.00
_space_group_name_H-M_alt 'C 1 2/m 1'
_space_group_IT_number 12
_space_group_name_Hall '-C 2y'
loop_
_atom_site_label
_atom_site_type_symbol
_atom_site_fract_x
_atom_site_fract_y
_atom_site_fract_z
Ce1 Ce 0.1341 0.0000 0.0373
Sm1 Sm 0.0000 0.0000 0.5000
Cr1 Cr 0.1834 0.5000 0.5014
C1 C 0.0561 0.5000 0.2569
C2 C 0.2206 0.0000 0.6909
# Total energy in Ry per atom: -0.60003

---

# 2
# CeTa2CrC4, optimized geometry, DFT PBE
data_CeTa2CrC4
_chemical_formula_sum 'Ce4 Ta8 Cr4 C16'
_cell_length_a 3.2346
_cell_length_b 11.1991
_cell_length_c 10.9370
_cell_angle_alpha 90.00
_cell_angle_beta 90.00
_cell_angle_gamma 90.00
_space_group_name_H-M_alt 'C m c m'
_space_group_IT_number 63
_space_group_name_Hall '-C 2c 2'
loop_
_atom_site_label
_atom_site_type_symbol
_atom_site_fract_x
_atom_site_fract_y
_atom_site_fract_z
Ce1 Ce 0.0000 0.0996 0.2500
Ta1 Ta 0.0000 0.3710 0.0432
Cr1 Cr 0.0000 0.1658 0.7500
C1 C 0.0000 0.0000 0.0000
C2 C 0.0000 0.2637 0.6149
C3 C 0.0000 0.4278 0.2500
# Total energy in Ry per atom: -0.72783

---

# 3
# TbCe2Cr2C4, optimized geometry, DFT PBE
data_TbCe2Cr2C4
_chemical_formula_sum 'Tb2 Ce4 Cr4 C8'
_cell_length_a 13.2376
_cell_length_b 3.4026
_cell_length_c 6.0310
_cell_angle_alpha 90.00
_cell_angle_beta 109.05
_cell_angle_gamma 90.00
_space_group_name_H-M_alt 'C 1 2/m 1'
_space_group_IT_number 12
_space_group_name_Hall '-C 2y'
loop_
_atom_site_label
_atom_site_type_symbol
_atom_site_fract_x
_atom_site_fract_y
_atom_site_fract_z
Tb1 Tb 0.0000 0.0000 0.0000
Ce1 Ce 0.1328 0.0000 0.5362
Cr1 Cr 0.1825 0.5000 0.0010
C1 C 0.0523 0.5000 0.7593
C2 C 0.2197 0.0000 0.1919
# Total energy in Ry per atom: -0.60265

---

# 4
# Tb2CeCr2C4, optimized geometry, DFT PBE
data_Tb2CeCr2C4
_chemical_formula_sum 'Tb4 Ce2 Cr4 C8'
_cell_length_a 13.2298
_cell_length_b 3.4333
_cell_length_c 6.0137
_cell_angle_alpha 90.00
_cell_angle_beta 111.33
_cell_angle_gamma 90.00
_space_group_name_H-M_alt 'C 1 2/m 1'
_space_group_IT_number 12
_space_group_name_Hall '-C 2y'
loop_
_atom_site_label
_atom_site_type_symbol
_atom_site_fract_x
_atom_site_fract_y
_atom_site_fract_z
Tb1 Tb 0.1346 0.0000 0.0404
Ce1 Ce 0.0000 0.0000 0.5000
Cr1 Cr 0.1806 0.5000 0.4864
C1 C 0.0411 0.5000 0.2428
C2 C 0.2183 0.0000 0.6856
# Total energy in Ry per atom: -0.58819

---

# 5
# Ce2TmCr2C4, optimized geometry, DFT PBE
data_Ce2TmCr2C4
_chemical_formula_sum 'Ce4 Tm2 Cr4 C8'
_cell_length_a 13.0773
_cell_length_b 3.3786
_cell_length_c 6.0131
_cell_angle_alpha 90.00
_cell_angle_beta 108.72
_cell_angle_gamma 90.00
_space_group_name_H-M_alt 'C 1 2/m 1'
_space_group_IT_number 12
_space_group_name_Hall '-C 2y'
loop_
_atom_site_label
_atom_site_type_symbol
_atom_site_fract_x
_atom_site_fract_y
_atom_site_fract_z
Ce1 Ce 0.1315 0.0000 0.0352
Tm1 Tm 0.0000 0.0000 0.5000
Cr1 Cr 0.1816 0.5000 0.5011
C1 C 0.0489 0.5000 0.2624
C2 C 0.2187 0.0000 0.6926
# Total energy in Ry per atom: -0.60415

---

# 6
# Ce2UCr2C4, optimized geometry, DFT PBE
data_Ce2UCr2C4
_chemical_formula_sum 'Ce4 U2 Cr4 C8'
_cell_length_a 13.1313
_cell_length_b 3.3332
_cell_length_c 5.9957
_cell_angle_alpha 90.00
_cell_angle_beta 109.05
_cell_angle_gamma 90.00
_space_group_name_H-M_alt 'C 1 2/m 1'
_space_group_IT_number 12
_space_group_name_Hall '-C 2y'
loop_
_atom_site_label
_atom_site_type_symbol
_atom_site_fract_x
_atom_site_fract_y
_atom_site_fract_z
Ce1 Ce 0.1316 0.0000 0.0298
U1 U 0.0000 0.0000 0.5000
Cr1 Cr 0.1825 0.5000 0.5017
C1 C 0.0395 0.5000 0.2572
C2 C 0.2239 0.0000 0.7055
# Total energy in Ry per atom: -0.65591

---

# 7
# CeCrW2C4, optimized geometry, DFT PBE
data_CeCrW2C4
_chemical_formula_sum 'Ce4 Cr4 W8 C16'
_cell_length_a 3.2346
_cell_length_b 11.0070
_cell_length_c 10.6317
_cell_angle_alpha 90.00
_cell_angle_beta 90.00
_cell_angle_gamma 90.00
_space_group_name_H-M_alt 'C m c m'
_space_group_IT_number 63
_space_group_name_Hall '-C 2c 2'
loop_
_atom_site_label
_atom_site_type_symbol
_atom_site_fract_x
_atom_site_fract_y
_atom_site_fract_z
Ce1 Ce 0.0000 0.1009 0.2500
Cr1 Cr 0.0000 0.1638 0.7500
W1 W 0.0000 0.3764 0.0414
C1 C 0.0000 0.0000 0.0000
C2 C 0.0000 0.2649 0.6117
C3 C 0.0000 0.4290 0.2500
# Total energy in Ry per atom: -0.72498

---

# 8
# CeCrWC3, optimized geometry, DFT PBE
data_CeCrWC3
_chemical_formula_sum 'Ce2 Cr2 W2 C6'
_cell_length_a 6.8305
_cell_length_b 3.2674
_cell_length_c 7.5035
_cell_angle_alpha 90.00
_cell_angle_beta 105.97
_cell_angle_gamma 90.00
_space_group_name_H-M_alt 'P 1 21/m 1'
_space_group_IT_number 11
_space_group_name_Hall '-P 2yb'
loop_
_atom_site_label
_atom_site_type_symbol
_atom_site_fract_x
_atom_site_fract_y
_atom_site_fract_z
Ce1 Ce 0.1958 0.2500 0.2044
Cr1 Cr 0.1031 0.2500 0.6088
W1 W 0.3471 0.7500 0.8668
C1 C 0.1215 0.2500 0.8642
C2 C 0.1897 0.7500 0.5302
C3 C 0.4470 0.7500 0.1585
# Total energy in Ry per atom: -0.68530

---

Calculated energy relative to the elements in order - -72 -295 -111 -66 -144 -98 -53 23 kJ/mol of formula units